A plane-wave DFT calculation with PBE was carried out for a geometry-optimized CsY2I6 structure.

Lattice parameters (Å, degrees): 9.147 7.721 7.721 120.00 90.00 90.00
Last column: magnetic moment on the atom in μB.
Atoms (fractional coordinates):
I: 0.302 0.644 0.000  0.00
I: 0.698 0.644 0.644  0.00
I: 0.302 0.356 0.356  0.00
I: 0.698 0.000 0.356  0.00
I: 0.302 0.000 0.644  0.00
Y: 0.500 0.333 0.667  0.29
I: 0.698 0.356 0.000  0.00
Cs: 0.000 0.000 0.000  0.00
Y: 0.500 0.667 0.333  0.29

Space-group type   P-31m (162)
Raw formation energy   -131.0 kJ per mole of atoms

---

A plane-wave DFT calculation with PBE was carried out for a geometry-optimized TiV4Re structure.

Lattice parameters (Å, degrees): 4.193 4.184 7.093 72.66 72.81 59.93
Atoms (fractional coordinates):
V: 0.877 0.875 0.372
V: 0.123 0.125 0.628
V: 0.375 0.375 0.876
Re: 0.000 0.000 0.000
Ti: 0.500 0.500 0.500
V: 0.625 0.625 0.124

Space-group type   C2/m (12)
Calculated formation energy   0.781 eV per atom
Energy relative to the lowest polymorph listed for this composition   917.8 meV per atom

---

A plane-wave DFT calculation with PBE was carried out for a geometry-optimized PaInMo4 structure.

Lattice parameters (Å, degrees): 5.453 5.453 5.453 60.00 60.00 60.00
Atoms (fractional coordinates):
Mo: 0.625 0.126 0.625
Pa: 0.250 0.250 0.250
Mo: 0.625 0.625 0.126
Mo: 0.625 0.625 0.625
Mo: 0.126 0.625 0.625
In: 0.000 0.000 0.000

Space-group type   F-43m (216)
Calculated formation energy   0.261 eV per atom

---

A plane-wave DFT calculation with PBE was carried out for a geometry-optimized Sr2Ni2Sb structure.

Lattice parameters (Å, degrees): 5.586 5.586 5.586 115.97 115.97 97.13
Last column: magnetic moment on the atom in μB.
Atoms (fractional coordinates):
Sb: 0.000 0.000 0.000  0.04
Sr: 0.250 0.750 0.500  -0.01
Ni: 0.656 0.656 0.000  0.33
Ni: 0.344 0.344 0.000  0.33
Sr: 0.750 0.250 0.500  -0.01

Space-group type   I4/mmm (139)
Raw formation energy   -19.1 kJ per mole of atoms
Energy relative to the lowest polymorph listed for this composition   60.6 meV per atom

---

A plane-wave DFT calculation with PBE was carried out for a geometry-optimized CrFe14Ge structure.

Lattice parameters (Å, degrees): 4.944 4.944 7.991 90.00 90.00 108.03
Last column: magnetic moment on the atom in μB.
Atoms (fractional coordinates):
Fe: 0.878 0.628 0.752  2.15
Fe: 0.125 0.375 0.000  2.30
Fe: 0.376 0.624 0.250  2.40
Fe: 0.376 0.624 0.750  2.40
Fe: 0.878 0.628 0.248  2.15
Fe: 0.625 0.875 0.500  1.94
Fe: 0.874 0.126 0.250  2.40
Ge: 0.625 0.375 0.500  -0.10
Fe: 0.125 0.875 0.000  2.39
Fe: 0.625 0.875 0.000  2.30
Fe: 0.625 0.375 0.000  2.50
Fe: 0.372 0.122 0.248  2.15
Fe: 0.372 0.122 0.752  2.15
Fe: 0.874 0.126 0.750  2.40
Fe: 0.125 0.375 0.500  1.94
Cr: 0.125 0.875 0.500  -1.88

Space-group type   Cmmm (65)
Calculated formation energy   -0.006 eV per atom

---

A plane-wave DFT calculation with PBE was carried out for a geometry-optimized Ba2SnCl structure.

Lattice parameters (Å, degrees): 4.655 4.655 9.203 75.35 75.35 60.00
Atoms (fractional coordinates):
Ba: 0.252 0.252 0.244
Cl: 0.497 0.497 0.509
Ba: 0.083 0.083 0.750
Sn: 0.667 0.667 0.998

Space-group type   R3m (160)
Raw formation energy   -112.6 kJ per mole of atoms
Energy relative to the lowest polymorph listed for this composition   45.3 meV per atom

---

A plane-wave DFT calculation with PBE was carried out for a geometry-optimized VTe2H structure.

Lattice parameters (Å, degrees): 5.836 5.836 6.944 65.15 65.15 90.00
Last column: magnetic moment on the atom in μB.
Atoms (fractional coordinates):
V: 0.000 0.000 0.000  1.95
H: 0.500 0.500 0.000  0.07
Te: 0.159 0.625 0.250  -0.16
Te: 0.591 0.125 0.250  -0.16
H: 0.250 0.750 0.500  0.07
Te: 0.375 0.409 0.750  -0.16
Te: 0.875 0.841 0.750  -0.16
V: 0.750 0.250 0.500  1.95

Space-group type   I-42d (122)
Energy relative to the lowest polymorph listed for this composition   587.1 meV per atom

---

A plane-wave DFT calculation with PBE was carried out for a geometry-optimized Tb3Pr2ThSe6 structure.

Lattice parameters (Å, degrees): 4.137 8.416 9.384 104.61 102.73 90.00
Atoms (fractional coordinates):
Th: 0.500 0.000 0.000
Se: 0.665 0.592 0.329
Tb: 0.167 0.835 0.334
Pr: 0.836 0.671 0.672
Se: 0.005 0.743 0.009
Se: 0.331 0.927 0.661
Tb: 0.833 0.165 0.666
Se: 0.669 0.073 0.339
Tb: 0.500 0.500 0.000
Pr: 0.164 0.329 0.328
Se: 0.995 0.257 0.991
Se: 0.335 0.408 0.671

Space-group type   C2/m (12)
Raw formation energy   -169.0 kJ per mole of atoms

---

A plane-wave DFT calculation with PBE was carried out for a geometry-optimized TaCr6Re2 structure.

Lattice parameters (Å, degrees): 2.795 7.366 7.152 120.99 101.28 90.00
Atoms (fractional coordinates):
Cr: 0.322 0.991 0.644
Re: 0.144 0.644 0.288
Cr: 0.500 0.315 0.000
Cr: 0.322 0.653 0.644
Re: 0.856 0.356 0.712
Cr: 0.500 0.685 0.000
Cr: 0.678 0.347 0.356
Cr: 0.678 0.009 0.356
Ta: 0.000 0.000 0.000

Space-group type   Immm (71)
Calculated formation energy   0.365 eV per atom

---

A plane-wave DFT calculation with PBE was carried out for a geometry-optimized Na3Ti3VSe8 structure.

Lattice parameters (Å, degrees): 7.325 7.327 8.347 116.05 90.00 119.99
Last column: magnetic moment on the atom in μB.
Atoms (fractional coordinates):
Se: 0.237 0.973 0.709  0.04
Na: 0.000 0.000 0.000  0.00
Ti: 0.500 0.000 0.500  -0.46
Se: 0.738 0.475 0.712  0.02
Na: 0.000 0.500 0.000  0.00
Se: 0.763 0.027 0.291  0.04
Se: 0.736 0.973 0.709  0.04
Ti: 0.500 0.500 0.500  -0.46
V: 0.000 0.000 0.500  -1.92
Ti: 0.000 0.500 0.500  -0.46
Se: 0.262 0.525 0.288  0.02
Se: 0.763 0.526 0.291  0.04
Se: 0.264 0.027 0.291  0.04
Na: 0.500 0.500 0.000  0.00
Se: 0.237 0.474 0.709  0.04

Space-group type   R-3m (166)
Raw formation energy   -106.5 kJ per mole of atoms

---

A plane-wave DFT calculation with PBE was carried out for a geometry-optimized PuCuBiRh structure.

Lattice parameters (Å, degrees): 4.845 4.845 4.845 60.00 60.00 60.00
Last column: magnetic moment on the atom in μB.
Atoms (fractional coordinates):
Bi: 0.000 0.000 0.000  -0.03
Rh: 0.750 0.750 0.750  -0.32
Pu: 0.500 0.500 0.500  5.09
Cu: 0.250 0.250 0.250  0.01

Space-group type   F-43m (216)
Calculated formation energy   -0.138 eV per atom

---

A plane-wave DFT calculation with PBE was carried out for a geometry-optimized CeAl4 structure.

Lattice parameters (Å, degrees): 6.404 6.404 6.404 141.30 141.30 55.88
Last column: magnetic moment on the atom in μB.
Atoms (fractional coordinates):
Al: 0.389 0.389 0.000  0.00
Al: 0.611 0.611 0.000  0.00
Al: 0.750 0.250 0.500  0.00
Al: 0.250 0.750 0.500  0.00
Ce: 0.000 0.000 0.000  0.69

Space-group type   I4/mmm (139)
Calculated formation energy   -0.294 eV per atom
Energy relative to the lowest polymorph listed for this composition   37.6 meV per atom

---

A plane-wave DFT calculation with PBE was carried out for a geometry-optimized Na2CuPt structure.

Lattice parameters (Å, degrees): 4.709 4.709 4.709 60.00 60.00 60.00
Atoms (fractional coordinates):
Pt: 0.500 0.500 0.500
Cu: 0.000 0.000 0.000
Na: 0.750 0.750 0.750
Na: 0.250 0.250 0.250

Space-group type   Fm-3m (225)
Calculated formation energy   0.231 eV per atom
Energy relative to the lowest polymorph listed for this composition   5.1 meV per atom

---

A plane-wave DFT calculation with PBE was carried out for a geometry-optimized DyTm2Mg8 structure.

Lattice parameters (Å, degrees): 5.295 7.849 8.366 118.01 108.45 90.00
Atoms (fractional coordinates):
Mg: 0.635 0.446 0.269
Mg: 0.153 0.153 0.306
Tm: 0.786 0.286 0.572
Mg: 0.634 0.823 0.269
Dy: 0.500 0.000 0.000
Mg: 0.366 0.177 0.731
Mg: 0.000 0.295 0.000
Tm: 0.214 0.714 0.428
Mg: 0.365 0.554 0.731
Mg: 0.847 0.847 0.694
Mg: 0.000 0.705 0.000

Space-group type   Immm (71)
Calculated formation energy   0.069 eV per atom

---

A plane-wave DFT calculation with PBE was carried out for a geometry-optimized CdSeCl2 structure.

Lattice parameters (Å, degrees): 4.650 4.650 8.972 90.00 90.00 133.90
Atoms (fractional coordinates):
Cl: 0.000 0.000 0.931
Cd: 0.500 0.500 0.737
Cl: 0.500 0.500 0.317
Se: 0.000 0.000 0.515

Space-group type   Cmm2 (35)
Raw formation energy   -24.9 kJ per mole of atoms
Energy relative to the lowest polymorph listed for this composition   279.3 meV per atom

---

A plane-wave DFT calculation with PBE was carried out for a geometry-optimized CrAu structure.

Lattice parameters (Å, degrees): 2.857 5.870 7.528 90.00 90.00 90.00
Atoms (fractional coordinates):
Au: 0.250 0.060 0.171
Au: 0.750 0.560 0.329
Cr: 0.750 0.126 0.473
Au: 0.750 0.940 0.829
Cr: 0.250 0.626 0.027
Au: 0.250 0.440 0.671
Cr: 0.250 0.874 0.527
Cr: 0.750 0.374 0.973

Space-group type   Pnma (62)
Calculated formation energy   0.331 eV per atom

---

A plane-wave DFT calculation with PBE was carried out for a geometry-optimized Li2ScCrAs structure.

Lattice parameters (Å, degrees): 4.683 5.163 4.683 90.00 90.00 90.00
Last column: magnetic moment on the atom in μB.
Atoms (fractional coordinates):
As: 0.000 0.000 0.000  0.03
Sc: 0.000 0.500 0.000  -0.11
Li: 0.500 0.000 0.000  0.00
Cr: 0.500 0.500 0.500  4.04
Li: 0.000 0.000 0.500  0.00

Space-group type   P4/mmm (123)
Calculated formation energy   0.071 eV per atom
Energy relative to the lowest polymorph listed for this composition   0.0 meV per atom

---

A plane-wave DFT calculation with PBE was carried out for a geometry-optimized Sc3BiCl structure.

Lattice parameters (Å, degrees): 5.595 5.595 5.595 90.00 90.00 90.00
Last column: magnetic moment on the atom in μB.
Atoms (fractional coordinates):
Sc: 0.000 0.500 0.000  0.80
Sc: 0.000 0.000 0.500  1.06
Sc: 0.500 0.000 0.000  0.71
Cl: 0.500 0.500 0.500  0.06
Bi: 0.000 0.000 0.000  0.00

Space-group type   Pm-3m (221)
Raw formation energy   31.5 kJ per mole of atoms
Energy relative to the lowest polymorph listed for this composition   791.9 meV per atom

---

A plane-wave DFT calculation with PBE was carried out for a geometry-optimized LiSm5Co2 structure.

Lattice parameters (Å, degrees): 7.782 7.782 8.756 116.38 116.38 90.00
Atoms (fractional coordinates):
Li: 0.250 0.250 0.500
Co: 0.138 0.362 0.000
Sm: 0.212 0.028 0.740
Sm: 0.472 0.288 0.260
Sm: 0.972 0.472 0.260
Li: 0.750 0.750 0.500
Co: 0.638 0.138 0.000
Sm: 0.528 0.712 0.740
Co: 0.862 0.638 0.000
Sm: 0.500 0.500 0.000
Sm: 0.000 0.000 0.000
Sm: 0.788 0.972 0.260
Sm: 0.288 0.788 0.260
Sm: 0.712 0.212 0.740
Sm: 0.028 0.528 0.740
Co: 0.362 0.862 0.000

Space-group type   I4/mcm (140)
Calculated formation energy   -0.036 eV per atom

---

A plane-wave DFT calculation with PBE was carried out for a geometry-optimized AlInRe2 structure.

Lattice parameters (Å, degrees): 4.376 2.855 5.290 82.32 90.00 90.00
Atoms (fractional coordinates):
Al: 0.500 0.250 0.250
Re: 0.000 0.019 0.026
Re: 0.000 0.481 0.474
In: 0.500 0.750 0.750

Space-group type   P2/m (10)
Calculated formation energy   0.406 eV per atom
Energy relative to the lowest polymorph listed for this composition   304.2 meV per atom

---

no.,uncorrected energy (eV/atom)
1,-3.922
2,-8.688
3,-8.999
4,-4.008
5,-8.300
6,-3.591
7,-4.370
8,-6.067
9,-10.134
10,-5.413
11,-7.553
12,-4.475
13,-2.963
14,-2.322
15,-2.281
16,-6.120
17,-4.815
18,-4.618
19,-5.002
20,-7.438